The following is a DFT calculation (PBE-GGA) of crystalline TlZnPS2 at its relaxed geometry.

## Properties
Raw formation energy = 5.47 eV/f.u.
M_tot = 1.4 μB/f.u.
SG = P4/mmm (123)

Cell: 5.133 5.133 5.285 Å, 90.00 90.00 90.00°
Atoms (fractional coordinates):
Tl (0.000, 0.000, 0.000)
Zn (0.500, 0.500, 0.500)
P (0.000, 0.000, 0.500)
S (0.000, 0.500, 0.000)
S (0.500, 0.000, 0.000)

The following is a DFT calculation (PBE-GGA) of crystalline Pu2SnPt at its relaxed geometry.

## Properties
VASP energy = -10.239 eV per atom
M_tot = 10.9 μB/f.u.
SG = P4/mmm (123)

Cell: 3.407 3.407 8.263 Å, 90.00 90.00 90.00°
Atoms (fractional coordinates):
Pu (0.000, 0.000, 0.220)
Pu (0.000, 0.000, 0.780)
Sn (0.500, 0.500, 0.500)
Pt (0.500, 0.500, 0.000)

The following is a DFT calculation (PBE-GGA) of crystalline CsAg4Pb at its relaxed geometry.

## Properties
VASP energy = -2.496 eV per atom
M_tot = 0.0 μB/f.u.
SG = F-43m (216)

Cell: 5.961 5.961 5.961 Å, 60.00 60.00 60.00°
Atoms (fractional coordinates):
Cs (0.000, 0.000, 0.000)
Ag (0.377, 0.377, 0.377)
Ag (0.377, 0.377, 0.869)
Ag (0.377, 0.869, 0.377)
Ag (0.869, 0.377, 0.377)
Pb (0.750, 0.750, 0.750)